[1]
MgSi2As (PBE, optimized geometry); volume = 17.39 A^3/atom; energy above the lowest structure with this stoichiometry = 1.335 eV/f.u.; Fermi-level density of states = 0.41 states/eV per atom; total moment = 0.00 μB/atom; E_form (uncorrected) = 0.4116 eV/atom; calculated total energy = -3.8610 eV/atom
1.0
9.4326 0.0206 0.0121
8.9675 2.9255 0.0121
8.9675 1.4358 2.5490
As Mg Si
1 1 2
Direct
0.2500 0.2500 0.2500
0.7500 0.7500 0.7500
0.9990 0.9990 0.9990
0.5010 0.5010 0.5010

[2]
Mg2SiAs (PBE, optimized geometry); volume = 19.08 A^3/atom; energy above the lowest structure with this stoichiometry = 1.293 eV/f.u.; Fermi-level density of states = 0.51 states/eV per atom; total moment = 0.00 μB/atom; E_form (uncorrected) = 0.1764 eV/atom; calculated total energy = -3.1391 eV/atom
1.0
4.7615 0.0000 0.0000
2.3808 4.1236 0.0000
2.3808 1.3745 3.8878
As Mg Si
1 2 1
Direct
0.5000 0.5000 0.5000
0.0000 0.0000 0.0000
0.7500 0.7500 0.7500
0.2500 0.2500 0.2500

[3]
MgSi2As (PBE, optimized geometry); volume = 19.11 A^3/atom; energy above the lowest structure with this stoichiometry = 0.387 eV/f.u.; Fermi-level density of states = 0.32 states/eV per atom; total moment = 0.00 μB/atom; E_form (uncorrected) = 0.1746 eV/atom; calculated total energy = -4.0980 eV/atom
1.0
-3.1810 4.2640 1.8215
-2.9864 1.8388 4.3953
2.6363 2.4775 2.1351
As Mg Si
1 1 2
Direct
0.4843 0.4843 0.6075
0.2799 0.2799 0.1775
0.0359 0.0359 0.0001
0.6998 0.6998 0.7149

[4]
Mg2SiAs (PBE, optimized geometry); volume = 18.74 A^3/atom; energy above the lowest structure with this stoichiometry = 0.396 eV/f.u.; Fermi-level density of states = 0.34 states/eV per atom; total moment = 0.00 μB/atom; E_form (uncorrected) = -0.0477 eV/atom; calculated total energy = -3.3632 eV/atom
1.0
4.9758 -0.0147 0.0000
1.1154 4.8492 0.0000
-3.0456 -2.4173 3.1049
As Mg Si
1 2 1
Direct
0.7500 0.2500 0.5000
0.0000 0.0000 0.0000
0.5000 0.5000 0.0000
0.2500 0.7500 0.5000

Among the records above, which one has the lowest calculated total energy? number 3

E_form (uncorrected) of number 1 (MgSi2As)? 0.4116 eV/atom

Please write out number 2 again, unchanged.
Mg2SiAs (PBE, optimized geometry); volume = 19.08 A^3/atom; energy above the lowest structure with this stoichiometry = 1.293 eV/f.u.; Fermi-level density of states = 0.51 states/eV per atom; total moment = 0.00 μB/atom; E_form (uncorrected) = 0.1764 eV/atom; calculated total energy = -3.1391 eV/atom
1.0
4.7615 0.0000 0.0000
2.3808 4.1236 0.0000
2.3808 1.3745 3.8878
As Mg Si
1 2 1
Direct
0.5000 0.5000 0.5000
0.0000 0.0000 0.0000
0.7500 0.7500 0.7500
0.2500 0.2500 0.2500

Which value of calculated total energy does entry 1 give? -3.8610 eV/atom